[1]
# BeNb2HRh (PBE, optimized geometry)
data_BeNb2HRh
_space_group_name_H-M_alt 'P 1'
_space_group_IT_number 1
_space_group_name_Hall 'P 1'
_cell_length_a 4.033
_cell_length_b 4.033
_cell_length_c 3.897
_cell_angle_alpha 90.00
_cell_angle_beta 90.00
_cell_angle_gamma 90.00
loop_
_atom_site_label
_atom_site_type_symbol
_atom_site_fract_x
_atom_site_fract_y
_atom_site_fract_z
Be1 Be 0.500 0.500 0.500
Nb1 Nb 0.000 0.500 0.000
Nb2 Nb 0.500 0.000 0.000
Rh1 Rh 0.000 0.000 0.500
H1 H 0.000 0.000 0.000
# **E above lowest polymorph**: 2 meV/atom
# **Space group**: P4/mmm
# **Size of the total moment**: 0.00 Bohr magnetons per cell

***

[2]
# BeNb2HRu (PBE, optimized geometry)
data_BeNb2HRu
_space_group_name_H-M_alt 'P 1'
_space_group_IT_number 1
_space_group_name_Hall 'P 1'
_cell_length_a 4.091
_cell_length_b 4.091
_cell_length_c 3.704
_cell_angle_alpha 90.00
_cell_angle_beta 90.00
_cell_angle_gamma 90.00
loop_
_atom_site_label
_atom_site_type_symbol
_atom_site_fract_x
_atom_site_fract_y
_atom_site_fract_z
Ru1 Ru 0.500 0.500 0.500
Nb1 Nb 0.000 0.500 0.000
Nb2 Nb 0.500 0.000 0.000
H1 H 0.000 0.000 0.000
Be1 Be 0.000 0.000 0.500
# **Space group**: P4/mmm
# **Uncorrected energy**: -36.814 eV per cell
# **Size of the total moment**: 0.00 Bohr magnetons per cell

***

[3]
# BeNbSb2H (PBE, optimized geometry)
data_BeNbSb2H
_space_group_name_H-M_alt 'P 1'
_space_group_IT_number 1
_space_group_name_Hall 'P 1'
_cell_length_a 4.672
_cell_length_b 4.556
_cell_length_c 4.672
_cell_angle_alpha 90.00
_cell_angle_beta 90.00
_cell_angle_gamma 90.00
loop_
_atom_site_label
_atom_site_type_symbol
_atom_site_fract_x
_atom_site_fract_y
_atom_site_fract_z
Sb1 Sb 0.000 0.000 0.500
Sb2 Sb 0.500 0.000 0.000
Nb1 Nb 0.000 0.500 0.000
H1 H 0.500 0.500 0.500
Be1 Be 0.000 0.000 0.000
# **Space group**: P4/mmm
# **Uncorrected energy**: -20.140 eV per cell
# **Size of the total moment**: 0.40 Bohr magnetons per cell

***

[4]
# ScBeNbH2 (PBE, optimized geometry)
data_ScBeNbH2
_space_group_name_H-M_alt 'P 1'
_space_group_IT_number 1
_space_group_name_Hall 'P 1'
_cell_length_a 3.604
_cell_length_b 5.693
_cell_length_c 3.604
_cell_angle_alpha 90.00
_cell_angle_beta 90.00
_cell_angle_gamma 90.00
loop_
_atom_site_label
_atom_site_type_symbol
_atom_site_fract_x
_atom_site_fract_y
_atom_site_fract_z
Sc1 Sc 0.000 0.000 0.000
Be1 Be 0.500 0.500 0.500
Nb1 Nb 0.000 0.500 0.000
H1 H 0.000 0.000 0.500
H2 H 0.500 0.000 0.000
# **Space group**: P4/mmm
# **Uncorrected energy**: -23.334 eV per cell
# **Size of the total moment**: 0.00 Bohr magnetons per cell